[1]
First-principles (PBE-GGA) data for a relaxed structure of LaTmMg2Ag4, as listed in the Alexandria database.

Cell: 8.884 8.884 8.884 Å, 32.46 32.46 32.46°
Fractional coordinates of all 8 atoms:
La 0.000 0.000 0.000
Tm 0.500 0.500 0.500
Mg 0.246 0.246 0.246
Mg 0.754 0.754 0.754
Ag 0.127 0.127 0.127
Ag 0.385 0.385 0.385
Ag 0.615 0.615 0.615
Ag 0.873 0.873 0.873

Results
* uncorrected energy: -3.28 eV per atom
* space group: No. 166
* E_form: -281 meV per atom

---

[2]
First-principles (PBE-GGA) data for a relaxed structure of CdHg2Se, as listed in the Alexandria database.

Cell: 4.301 4.301 5.585 Å, 90.00 90.00 90.00°
Fractional coordinates of all 4 atoms:
Cd 0.000 0.000 0.000
Hg 0.500 0.500 0.251
Hg 0.500 0.500 0.749
Se 0.000 0.000 0.500

Results
* uncorrected energy: -1.19 eV per atom
* energy relative to the elements, uncorrected: 0.0576 eV per atom
* space group: No. 123

---

[3]
First-principles (PBE-GGA) data for a relaxed structure of Y2NiPd2, as listed in the Alexandria database.

Cell: 7.750 7.750 3.571 Å, 90.00 90.00 90.00°
Fractional coordinates of all 10 atoms:
Y 0.170 0.330 0.000
Y 0.330 0.830 0.000
Y 0.670 0.170 0.000
Y 0.830 0.670 0.000
Ni 0.000 0.000 0.000
Ni 0.500 0.500 0.000
Pd 0.129 0.629 0.500
Pd 0.371 0.129 0.500
Pd 0.629 0.871 0.500
Pd 0.871 0.371 0.500

Results
* uncorrected energy: -6.19 eV per atom
* space group: No. 127
* E_form: -373 meV per atom

---

[4]
First-principles (PBE-GGA) data for a relaxed structure of KTaH3, as listed in the Alexandria database.

Cell: 3.971 3.971 3.971 Å, 90.00 90.00 90.00°
Fractional coordinates of all 5 atoms:
K 0.000 0.000 0.000
Ta 0.500 0.500 0.500
H 0.000 0.500 0.500
H 0.500 0.000 0.500
H 0.500 0.500 0.000

Results
* uncorrected energy: -4.30 eV per atom
* space group: No. 221

---

[5]
First-principles (PBE-GGA) data for a relaxed structure of Ba2PrCd3Sn4, as listed in the Alexandria database.

Cell: 5.031 5.031 12.677 Å, 90.00 90.00 90.00°
Fractional coordinates of all 10 atoms:
Ba 0.000 0.500 0.233
Ba 0.500 0.000 0.767
Pr 0.000 0.000 0.500
Cd 0.000 0.500 0.872
Cd 0.500 0.000 0.128
Cd 0.500 0.500 0.500
Sn 0.000 0.000 0.000
Sn 0.000 0.500 0.647
Sn 0.500 0.000 0.353
Sn 0.500 0.500 0.000

Results
* uncorrected energy: -3.22 eV per atom
* space group: No. 115
* E_form: -478 meV per atom

---

[6]
First-principles (PBE-GGA) data for a relaxed structure of UTi2In, as listed in the Alexandria database.

Cell: 4.806 4.806 4.806 Å, 60.00 60.00 60.00°
Fractional coordinates of all 4 atoms:
U 0.000 0.000 0.000
Ti 0.250 0.250 0.250
Ti 0.750 0.750 0.750
In 0.500 0.500 0.500

Results
* uncorrected energy: -7.29 eV per atom
* space group: No. 225
* E_form: 163 meV per atom

---

[7]
First-principles (PBE-GGA) data for a relaxed structure of LiSmMg6, as listed in the Alexandria database.

Cell: 4.858 4.858 8.131 Å, 90.00 90.00 90.00°
Fractional coordinates of all 8 atoms:
Li 0.000 0.000 0.000
Sm 0.000 0.000 0.500
Mg 0.000 0.500 0.226
Mg 0.000 0.500 0.774
Mg 0.500 0.000 0.226
Mg 0.500 0.000 0.774
Mg 0.500 0.500 0.000
Mg 0.500 0.500 0.500

Results
* uncorrected energy: -2.07 eV per atom
* space group: No. 123
* E_form: -48 meV per atom

---

[8]
First-principles (PBE-GGA) data for a relaxed structure of SmDyEr2Tl4, as listed in the Alexandria database.

Cell: 9.326 9.326 9.326 Å, 33.47 33.47 33.47°
Fractional coordinates of all 8 atoms:
Sm 0.000 0.000 0.000
Dy 0.500 0.500 0.500
Er 0.250 0.250 0.250
Er 0.750 0.750 0.750
Tl 0.126 0.126 0.126
Tl 0.376 0.376 0.376
Tl 0.624 0.624 0.624
Tl 0.874 0.874 0.874

Results
* uncorrected energy: -3.82 eV per atom
* space group: No. 166
* E_form: -333 meV per atom

---

[9]
First-principles (PBE-GGA) data for a relaxed structure of Pr2YTh, as listed in the Alexandria database.

Cell: 11.994 3.529 13.027 Å, 90.00 90.00 90.00°
Fractional coordinates of all 16 atoms:
Pr 0.221 0.250 0.239
Pr 0.242 0.750 0.005
Pr 0.258 0.250 0.505
Pr 0.279 0.750 0.739
Pr 0.721 0.250 0.261
Pr 0.742 0.750 0.495
Pr 0.758 0.250 0.995
Pr 0.779 0.750 0.761
Y 0.021 0.750 0.624
Y 0.479 0.250 0.124
Y 0.521 0.750 0.876
Y 0.979 0.250 0.376
Th 0.017 0.250 0.876
Th 0.483 0.750 0.376
Th 0.517 0.250 0.624
Th 0.983 0.750 0.124

Results
* uncorrected energy: -5.73 eV per atom
* space group: No. 62
* E_form: 135 meV per atom

---

[10]
First-principles (PBE-GGA) data for a relaxed structure of LiCa2Cd, as listed in the Alexandria database.

Cell: 3.912 3.837 7.876 Å, 90.00 90.37 90.00°
Fractional coordinates of all 4 atoms:
Li 0.000 0.000 0.000
Ca 0.499 0.500 0.262
Ca 0.501 0.500 0.738
Cd 0.000 0.000 0.500

Results
* uncorrected energy: -1.89 eV per atom
* space group: No. 10
* E_form: -186 meV per atom

---

[11]
First-principles (PBE-GGA) data for a relaxed structure of NaHfN2F, as listed in the Alexandria database.

Cell: 4.012 4.012 3.664 Å, 90.00 90.00 90.00°
Fractional coordinates of all 5 atoms:
Na 0.000 0.000 0.000
Hf 0.500 0.500 0.500
N 0.000 0.500 0.000
N 0.500 0.000 0.000
F 0.000 0.000 0.500

Results
* uncorrected energy: -5.62 eV per atom
* energy relative to the elements, uncorrected: 0.3382 eV per atom
* space group: No. 123

---

[12]
First-principles (PBE-GGA) data for a relaxed structure of Pm3SmTc, as listed in the Alexandria database.

Cell: 5.497 5.497 5.497 Å, 90.00 90.00 90.00°
Fractional coordinates of all 5 atoms:
Pm 0.000 0.000 0.500
Pm 0.000 0.500 0.000
Pm 0.500 0.000 0.000
Sm 0.500 0.500 0.500
Tc 0.000 0.000 0.000

Results
* uncorrected energy: -5.67 eV per atom
* space group: No. 221
* E_form: 193 meV per atom

---

[13]
First-principles (PBE-GGA) data for a relaxed structure of NdHfCu2, as listed in the Alexandria database.

Cell: 4.827 4.827 4.827 Å, 60.00 60.00 60.00°
Fractional coordinates of all 4 atoms:
Nd 0.000 0.000 0.000
Hf 0.500 0.500 0.500
Cu 0.250 0.250 0.250
Cu 0.750 0.750 0.750

Results
* uncorrected energy: -5.71 eV per atom
* space group: No. 225
* E_form: 15 meV per atom

---

[14]
First-principles (PBE-GGA) data for a relaxed structure of TiAsSe2O, as listed in the Alexandria database.

Cell: 4.769 4.769 4.965 Å, 90.00 90.00 90.00°
Fractional coordinates of all 5 atoms:
Ti 0.000 0.000 0.000
As 0.000 0.000 0.500
Se 0.000 0.500 0.000
Se 0.500 0.000 0.000
O 0.500 0.500 0.500

Results
* uncorrected energy: -4.50 eV per atom
* energy relative to the elements, uncorrected: 0.3973 eV per atom
* space group: No. 123

---

[15]
First-principles (PBE-GGA) data for a relaxed structure of CsTaP2O, as listed in the Alexandria database.

Cell: 5.266 5.266 4.067 Å, 90.00 90.00 90.00°
Fractional coordinates of all 5 atoms:
Cs 0.000 0.000 0.000
Ta 0.500 0.500 0.500
P 0.000 0.500 0.000
P 0.500 0.000 0.000
O 0.000 0.000 0.500

Results
* uncorrected energy: -3.78 eV per atom
* energy relative to the elements, uncorrected: 1.9150 eV per atom
* space group: No. 123

---

[16]
First-principles (PBE-GGA) data for a relaxed structure of LiEuNiSb, as listed in the Alexandria database.

Cell: 4.735 4.735 4.735 Å, 60.00 60.00 60.00°
Fractional coordinates of all 4 atoms:
Li 0.000 0.000 0.000
Eu 0.750 0.750 0.750
Ni 0.500 0.500 0.500
Sb 0.250 0.250 0.250

Results
* uncorrected energy: -6.01 eV per atom
* energy relative to the elements, uncorrected: -0.4917 eV per atom
* space group: No. 216

---

[17]
First-principles (PBE-GGA) data for a relaxed structure of KCaTl2Bi, as listed in the Alexandria database.

Cell: 5.872 5.872 6.282 Å, 90.00 90.00 90.00°
Fractional coordinates of all 5 atoms:
K 0.000 0.000 0.000
Ca 0.000 0.000 0.500
Tl 0.000 0.500 0.500
Tl 0.500 0.000 0.500
Bi 0.500 0.500 0.000

Results
* uncorrected energy: -1.92 eV per atom
* space group: No. 123
* E_form: 427 meV per atom

---

[18]
First-principles (PBE-GGA) data for a relaxed structure of ScZnHIr2, as listed in the Alexandria database.

Cell: 4.120 4.120 3.768 Å, 90.00 90.00 90.00°
Fractional coordinates of all 5 atoms:
Sc 0.000 0.000 0.000
Zn 0.500 0.500 0.000
H 0.500 0.500 0.500
Ir 0.000 0.500 0.500
Ir 0.500 0.000 0.500

Results
* uncorrected energy: -6.14 eV per atom
* space group: No. 123

---

[19]
First-principles (PBE-GGA) data for a relaxed structure of GdEr2Mg, as listed in the Alexandria database.

Cell: 12.342 12.342 12.342 Å, 15.92 15.92 15.92°
Fractional coordinates of all 4 atoms:
Gd 0.000 0.000 0.000
Er 0.411 0.411 0.411
Er 0.589 0.589 0.589
Mg 0.500 0.500 0.500

Results
* uncorrected energy: -5.99 eV per atom
* space group: No. 166
* E_form: 209 meV per atom

---

[20]
First-principles (PBE-GGA) data for a relaxed structure of Ga2BiPb2, as listed in the Alexandria database.

Cell: 9.814 9.814 9.814 Å, 157.48 157.48 32.05°
Fractional coordinates of all 5 atoms:
Ga 0.250 0.750 0.500
Ga 0.750 0.250 0.500
Bi 0.000 0.000 0.000
Pb 0.387 0.387 0.000
Pb 0.613 0.613 0.000

Results
* uncorrected energy: -3.39 eV per atom
* space group: No. 139
* E_form: 84 meV per atom

---

[21]
First-principles (PBE-GGA) data for a relaxed structure of Tb3Nd2In7, as listed in the Alexandria database.

Cell: 13.070 13.070 5.378 Å, 90.00 90.00 157.02°
Fractional coordinates of all 12 atoms:
Tb 0.000 0.000 0.000
Tb 0.150 0.850 0.000
Tb 0.850 0.150 0.000
Nd 0.354 0.646 0.500
Nd 0.646 0.354 0.500
In 0.071 0.929 0.500
In 0.223 0.777 0.500
In 0.425 0.575 0.000
In 0.500 0.500 0.500
In 0.575 0.425 0.000
In 0.777 0.223 0.500
In 0.929 0.071 0.500

Results
* uncorrected energy: -3.77 eV per atom
* space group: No. 65
* E_form: -221 meV per atom

---

[22]
First-principles (PBE-GGA) data for a relaxed structure of CaAc4Dy, as listed in the Alexandria database.

Cell: 7.265 7.265 7.265 Å, 60.00 60.00 60.00°
Fractional coordinates of all 6 atoms:
Ca 0.000 0.000 0.000
Ac 0.128 0.624 0.624
Ac 0.624 0.128 0.624
Ac 0.624 0.624 0.128
Ac 0.624 0.624 0.624
Dy 0.250 0.250 0.250

Results
* uncorrected energy: -3.54 eV per atom
* space group: No. 216
* E_form: 303 meV per atom

---

[23]
First-principles (PBE-GGA) data for a relaxed structure of Li2Tl2Sn, as listed in the Alexandria database.

Cell: 7.796 7.796 3.794 Å, 90.00 90.00 90.00°
Fractional coordinates of all 10 atoms:
Li 0.142 0.358 0.000
Li 0.358 0.858 0.000
Li 0.642 0.142 0.000
Li 0.858 0.642 0.000
Tl 0.159 0.659 0.500
Tl 0.341 0.159 0.500
Tl 0.659 0.841 0.500
Tl 0.841 0.341 0.500
Sn 0.000 0.000 0.000
Sn 0.500 0.500 0.000

Results
* uncorrected energy: -2.66 eV per atom
* space group: No. 127
* E_form: -149 meV per atom

---

[24]
First-principles (PBE-GGA) data for a relaxed structure of CaDy2Bi, as listed in the Alexandria database.

Cell: 12.524 12.524 12.524 Å, 16.48 16.48 16.48°
Fractional coordinates of all 4 atoms:
Ca 0.000 0.000 0.000
Dy 0.416 0.416 0.416
Dy 0.584 0.584 0.584
Bi 0.500 0.500 0.500

Results
* uncorrected energy: -3.68 eV per atom
* space group: No. 166
* E_form: 93 meV per atom

---

[25]
First-principles (PBE-GGA) data for a relaxed structure of AlCo10B3, as listed in the Alexandria database.

Cell: 7.357 7.357 7.357 Å, 60.00 60.00 60.00°
Fractional coordinates of all 28 atoms:
Al 0.250 0.250 0.250
Al 0.750 0.750 0.750
Co 0.000 0.000 0.335
Co 0.000 0.000 0.665
Co 0.000 0.335 0.000
Co 0.000 0.335 0.665
Co 0.000 0.665 0.000
Co 0.000 0.665 0.335
Co 0.146 0.618 0.618
Co 0.335 0.000 0.000
Co 0.335 0.000 0.665
Co 0.335 0.665 0.000
Co 0.382 0.382 0.382
Co 0.382 0.382 0.854
Co 0.382 0.854 0.382
Co 0.618 0.146 0.618
Co 0.618 0.618 0.146
Co 0.618 0.618 0.618
Co 0.665 0.000 0.000
Co 0.665 0.000 0.335
Co 0.665 0.335 0.000
Co 0.854 0.382 0.382
B 0.277 0.277 0.723
B 0.277 0.723 0.277
B 0.277 0.723 0.723
B 0.723 0.277 0.277
B 0.723 0.277 0.723
B 0.723 0.723 0.277

Results
* uncorrected energy: -7.00 eV per atom
* space group: No. 225
* E_form: -222 meV per atom